Entry from Alexandria: crystalline NdMgCdIr at its relaxed geometry (PBE-GGA).

Values from the calculation:
**DFT formation energy**: -276 meV per atom
**D(E_F)**: 13.82 states/eV/cell
**Crystal system**: cubic

Cell lengths 7.018, 7.018, 7.018 Å; angles 90.00, 90.00, 90.00 degrees
Space group F-43m (No. 216)
Inequivalent atoms, fractional coordinates:
Nd 0.000 0.000 0.000 [4 per cell]
Mg 0.000 0.000 0.500 [4 per cell]
Cd 0.250 0.250 0.250 [4 per cell]
Ir 0.250 0.250 0.750 [4 per cell]

---

Entry from Alexandria: crystalline RbNbPt3 at its relaxed geometry (PBE-GGA).

Values from the calculation:
**DFT formation energy**: 2479 meV per atom
**D(E_F)**: 13.05 states/eV/cell
**Crystal system**: cubic
**Excess energy over the best structure of this formula in the dataset**: 10.126 eV per formula unit

Cell lengths 4.920, 4.920, 4.920 Å; angles 90.00, 90.00, 90.00 degrees
Space group Pm-3m (No. 221)
Inequivalent atoms, fractional coordinates:
Rb 0.000 0.000 0.000 [1 per cell]
Nb 0.500 0.500 0.500 [1 per cell]
Pt 0.000 0.000 0.500 [3 per cell]

---

Entry from Alexandria: crystalline SbPS at its relaxed geometry (PBE-GGA).

Values from the calculation:
**Crystal system**: triclinic
**Excess energy over the best structure of this formula in the dataset**: 0.000 eV per formula unit

Cell lengths 4.643, 6.217, 6.812 Å; angles 106.98, 91.11, 110.61 degrees
Space group P1 (No. 1)
Inequivalent atoms, fractional coordinates:
Sb 0.000 0.000 0.000 [1 per cell]
Sb 0.444 0.584 0.744 [1 per cell]
P 0.078 0.611 0.024 [1 per cell]
P 0.457 0.721 0.284 [1 per cell]
S 0.217 0.784 0.546 [1 per cell]
S 0.745 0.084 0.314 [1 per cell]

---

Entry from Alexandria: crystalline TlBiS4 at its relaxed geometry (PBE-GGA).

Values from the calculation:
**D(E_F)**: 2.19 states/eV/cell
**Crystal system**: tetragonal
**Excess energy over the best structure of this formula in the dataset**: 0.000 eV per formula unit

Cell lengths 7.546, 7.546, 11.912 Å; angles 90.00, 90.00, 90.00 degrees
Space group I4_1/a (No. 88, origin choice 2)
Inequivalent atoms, fractional coordinates:
Tl 0.000 0.250 0.125 [4 per cell]
Bi 0.000 0.250 0.625 [4 per cell]
S 0.092 0.147 0.848 [16 per cell]

---

Entry from Alexandria: crystalline NaErAgPt at its relaxed geometry (PBE-GGA).

Values from the calculation:
**DFT formation energy**: -460 meV per atom
**D(E_F)**: 8.14 states/eV/cell
**Crystal system**: cubic

Cell lengths 6.917, 6.917, 6.917 Å; angles 90.00, 90.00, 90.00 degrees
Space group F-43m (No. 216)
Inequivalent atoms, fractional coordinates:
Na 0.000 0.000 0.000 [4 per cell]
Er 0.000 0.000 0.500 [4 per cell]
Ag 0.250 0.250 0.750 [4 per cell]
Pt 0.250 0.250 0.250 [4 per cell]

---

Entry from Alexandria: crystalline Mg2CrIn at its relaxed geometry (PBE-GGA).

Values from the calculation:
**DFT formation energy**: 179 meV per atom
**D(E_F)**: 3.66 states/eV/cell
**Crystal system**: tetragonal

Cell lengths 4.307, 4.307, 8.762 Å; angles 90.00, 90.00, 90.00 degrees
Space group I4/mmm (No. 139)
Inequivalent atoms, fractional coordinates:
Mg 0.000 0.500 0.250 [4 per cell]
Cr 0.000 0.000 0.000 [2 per cell]
In 0.000 0.000 0.500 [2 per cell]

---

Entry from Alexandria: crystalline ZrTi5Tc4 at its relaxed geometry (PBE-GGA).

Values from the calculation:
**DFT formation energy**: -398 meV per atom
**D(E_F)**: 11.13 states/eV/cell
**Crystal system**: tetragonal

Cell lengths 3.126, 3.126, 16.404 Å; angles 90.00, 90.00, 90.00 degrees
Space group P4/mmm (No. 123)
Inequivalent atoms, fractional coordinates:
Zr 0.000 0.000 0.000 [1 per cell]
Ti 0.500 0.500 0.130 [2 per cell]
Ti 0.500 0.500 0.312 [2 per cell]
Ti 0.500 0.500 0.500 [1 per cell]
Tc 0.000 0.000 0.215 [2 per cell]
Tc 0.000 0.000 0.406 [2 per cell]

---

Entry from Alexandria: crystalline Th2Ni2Ge at its relaxed geometry (PBE-GGA).

Values from the calculation:
**DFT formation energy**: -575 meV per atom
**D(E_F)**: 7.16 states/eV/cell
**Crystal system**: orthorhombic

Cell lengths 4.130, 5.661, 8.549 Å; angles 90.00, 90.00, 90.00 degrees
Space group Immm (No. 71)
Inequivalent atoms, fractional coordinates:
Th 0.000 0.000 0.202 [4 per cell]
Ni 0.000 0.274 0.500 [4 per cell]
Ge 0.000 0.500 0.000 [2 per cell]

---

Entry from Alexandria: crystalline Cd3Bi2H2 at its relaxed geometry (PBE-GGA).

Values from the calculation:
**D(E_F)**: 1.55 states/eV/cell
**Crystal system**: triclinic
**Energy**: -2.18 eV/atom

Cell lengths 3.965, 5.815, 7.576 Å; angles 72.15, 74.93, 89.79 degrees
Space group P-1 (No. 2)
Inequivalent atoms, fractional coordinates:
Cd 0.000 0.000 0.000 [1 per cell]
Cd 0.342 0.861 0.316 [2 per cell]
Bi 0.133 0.606 0.742 [2 per cell]
H 0.370 0.274 0.251 [2 per cell]

---

Entry from Alexandria: crystalline ZrTeP at its relaxed geometry (PBE-GGA).

Values from the calculation:
**D(E_F)**: 15.11 states/eV/cell
**Crystal system**: cubic
**Energy**: -5.80 eV/atom

Cell lengths 6.517, 6.517, 6.517 Å; angles 90.00, 90.00, 90.00 degrees
Space group F-43m (No. 216)
Inequivalent atoms, fractional coordinates:
Zr 0.000 0.000 0.000 [4 per cell]
Te 0.000 0.000 0.500 [4 per cell]
P 0.250 0.250 0.250 [4 per cell]

---

Entry from Alexandria: crystalline Nd2Y2In at its relaxed geometry (PBE-GGA).

Values from the calculation:
**DFT formation energy**: -172 meV per atom
**D(E_F)**: 18.67 states/eV/cell
**Crystal system**: monoclinic

Cell lengths 12.266, 5.530, 9.608 Å; angles 90.00, 105.06, 90.00 degrees
Space group C2/m (No. 12)
Inequivalent atoms, fractional coordinates:
Nd 0.021 0.000 0.339 [4 per cell]
Nd 0.160 0.000 0.054 [4 per cell]
Y 0.024 0.500 0.842 [4 per cell]
Y 0.154 0.500 0.552 [4 per cell]
In 0.246 0.500 0.260 [4 per cell]

---

Entry from Alexandria: crystalline Cd2TeRuO6 at its relaxed geometry (PBE-GGA).

Values from the calculation:
**D(E_F)**: 1.46 states/eV/cell
**Crystal system**: tetragonal
**Energy**: -5.12 eV/atom

Cell lengths 5.762, 5.762, 4.646 Å; angles 90.00, 90.00, 90.00 degrees
Space group P4mm (No. 99)
Inequivalent atoms, fractional coordinates:
Cd 0.000 0.500 0.000 [2 per cell]
Te 0.000 0.000 0.645 [1 per cell]
Ru 0.500 0.500 0.630 [1 per cell]
O 0.000 0.000 0.240 [1 per cell]
O 0.261 0.261 0.743 [4 per cell]
O 0.500 0.500 0.243 [1 per cell]

---

Entry from Alexandria: crystalline Pr4GaTeSe2 at its relaxed geometry (PBE-GGA).

Values from the calculation:
**D(E_F)**: 3.50 states/eV/cell
**Crystal system**: monoclinic
**Energy**: -5.47 eV/atom

Cell lengths 7.552, 4.306, 7.658 Å; angles 90.00, 108.80, 90.00 degrees
Space group P2/m (No. 10)
Inequivalent atoms, fractional coordinates:
Pr 0.241 0.000 0.232 [2 per cell]
Pr 0.248 0.500 0.758 [2 per cell]
Ga 0.500 0.000 0.000 [1 per cell]
Te 0.500 0.500 0.500 [1 per cell]
Se 0.000 0.000 0.500 [1 per cell]
Se 0.000 0.500 0.000 [1 per cell]

---

Entry from Alexandria: crystalline Ac2UCuS6 at its relaxed geometry (PBE-GGA).

Values from the calculation:
**D(E_F)**: 1.27 states/eV/cell
**Crystal system**: monoclinic
**Energy**: -6.36 eV/atom

Cell lengths 12.039, 6.786, 7.084 Å; angles 90.00, 123.03, 90.00 degrees
Space group C2/m (No. 12)
Inequivalent atoms, fractional coordinates:
Ac 0.238 0.000 0.214 [4 per cell]
U 0.000 0.000 0.500 [2 per cell]
Cu 0.000 0.500 0.000 [2 per cell]
S 0.058 0.257 0.814 [8 per cell]
S 0.250 0.000 0.643 [4 per cell]

---

Entry from Alexandria: crystalline NdDyI3 at its relaxed geometry (PBE-GGA).

Values from the calculation:
**D(E_F)**: 1.68 states/eV/cell
**Crystal system**: monoclinic
**Energy**: -3.92 eV/atom

Cell lengths 20.097, 4.118, 12.494 Å; angles 90.00, 125.12, 90.00 degrees
Space group C2/m (No. 12)
Inequivalent atoms, fractional coordinates:
Nd 0.134 0.000 0.278 [4 per cell]
Dy 0.066 0.500 0.961 [4 per cell]
I 0.035 0.000 0.749 [4 per cell]
I 0.165 0.500 0.506 [4 per cell]
I 0.211 0.000 0.118 [4 per cell]

---

Entry from Alexandria: crystalline Sm2HoCd at its relaxed geometry (PBE-GGA).

Values from the calculation:
**DFT formation energy**: -151 meV per atom
**D(E_F)**: 17.11 states/eV/cell
**Crystal system**: monoclinic
**Excess energy over the best structure of this formula in the dataset**: 0.000 eV per formula unit

Cell lengths 7.298, 7.297, 9.715 Å; angles 90.00, 112.06, 90.00 degrees
Space group C2/m (No. 12)
Inequivalent atoms, fractional coordinates:
Sm 0.135 0.000 0.271 [4 per cell]
Sm 0.250 0.250 0.000 [4 per cell]
Ho 0.141 0.500 0.280 [4 per cell]
Cd 0.000 0.251 0.500 [4 per cell]

---

Entry from Alexandria: crystalline PuMn2Fe at its relaxed geometry (PBE-GGA).

Values from the calculation:
**DFT formation energy**: 296 meV per atom
**D(E_F)**: 7.81 states/eV/cell
**Crystal system**: tetragonal
**Excess energy over the best structure of this formula in the dataset**: 1.117 eV per formula unit

Cell lengths 2.495, 2.495, 8.208 Å; angles 90.00, 90.00, 90.00 degrees
Space group P4/mmm (No. 123)
Inequivalent atoms, fractional coordinates:
Pu 0.000 0.000 0.000 [1 per cell]
Mn 0.500 0.500 0.290 [2 per cell]
Fe 0.000 0.000 0.500 [1 per cell]

---

Entry from Alexandria: crystalline DyLuZnPd at its relaxed geometry (PBE-GGA).

Values from the calculation:
**DFT formation energy**: -625 meV per atom
**D(E_F)**: 10.76 states/eV/cell
**Crystal system**: cubic

Cell lengths 7.002, 7.002, 7.002 Å; angles 90.00, 90.00, 90.00 degrees
Space group F-43m (No. 216)
Inequivalent atoms, fractional coordinates:
Dy 0.000 0.000 0.000 [4 per cell]
Lu 0.000 0.000 0.500 [4 per cell]
Zn 0.250 0.250 0.250 [4 per cell]
Pd 0.250 0.250 0.750 [4 per cell]

---

Entry from Alexandria: crystalline Tb6PmHg2 at its relaxed geometry (PBE-GGA).

Values from the calculation:
**DFT formation energy**: -207 meV per atom
**D(E_F)**: 18.88 states/eV/cell
**Crystal system**: monoclinic

Cell lengths 12.674, 3.752, 11.923 Å; angles 90.00, 108.56, 90.00 degrees
Space group C2/m (No. 12)
Inequivalent atoms, fractional coordinates:
Tb 0.016 0.000 0.339 [4 per cell]
Tb 0.188 0.500 0.584 [4 per cell]
Tb 0.188 0.500 0.875 [4 per cell]
Pm 0.000 0.000 0.000 [2 per cell]
Hg 0.147 0.500 0.212 [4 per cell]

---

Entry from Alexandria: crystalline AcZn4Cd12 at its relaxed geometry (PBE-GGA).

Values from the calculation:
**DFT formation energy**: 87 meV per atom
**D(E_F)**: 16.80 states/eV/cell
**Crystal system**: cubic

Cell lengths 9.542, 9.542, 9.542 Å; angles 90.00, 90.00, 90.00 degrees
Space group Im-3 (No. 204)
Inequivalent atoms, fractional coordinates:
Ac 0.000 0.000 0.000 [2 per cell]
Zn 0.250 0.250 0.250 [8 per cell]
Cd 0.000 0.346 0.156 [24 per cell]

---

Calculated total moment, 0.00 0.06 0.00 0.00 0.00 7.53 0.00 0.00 0.00 0.00 0.00 1.86 0.00 2.00 0.00 0.00 2.12 0.00 0.00 0.00 Bohr magnetons per cell (same order as the records).
Calculated calculated density, 9093 10646 3520 5304 9897 4402 7484 10868 7858 5995 6134 5916 6472 6488 5399 8007 13316 9853 9268 7025 kg/m3 (same order as the records).